The following is a PBE calculation of a relaxed structure of Ac2Nb2N5, from Alexandria.

Unit cell a=5.9666 b=5.9553 c=9.2428 alpha=108.45 beta=108.48 gamma=91.02
Last column: nearest neighbours and their distance in Å.
Fractional coordinates of all 18 atoms:
Ac  0.6239  0.5925  0.7153  7 N 2.51-2.80
Ac  0.9086  0.8772  0.2847  7 N 2.51-2.80
Ac  0.3761  0.4075  0.2847  7 N 2.51-2.80
Ac  0.0914  0.1228  0.7153  7 N 2.51-2.80
Nb  0.3232  0.8178  0.0000  4 N 1.98-2.03
Nb  0.0000  0.5000  0.5000  6 N 2.09-2.31
Nb  0.6768  0.1822  0.0000  4 N 1.98-2.03
Nb  0.5000  0.0000  0.5000  6 N 2.09-2.31
N  0.6632  0.8424  0.0000  2 Nb 2.02-2.03
N  0.2502  0.2502  0.5004  2 Nb 2.13
N  0.7498  0.7498  0.4996  2 Nb 2.13
N  0.1158  0.6164  0.7790  1 Nb 1.98
N  0.8842  0.3836  0.2210  1 Nb 1.98
N  0.3369  0.8374  0.2210  1 Nb 1.98
N  0.3368  0.1576  0.0000  2 Nb 2.02-2.03
N  0.6631  0.1626  0.7790  1 Nb 1.98
N  0.7418  0.2418  0.4837  2 Nb 2.09
N  0.2582  0.7582  0.5163  2 Nb 2.09

Computed properties:
Magnetic moment, μB/f.u.: 0.00
Energy relative to the elements, uncorrected, eV/atom: -1.134
Energy above the lowest structure with this stoichiometry, eV/f.u.: 0.00
Space-group type: C2/m